# LiAg4Te4 PBE optimized geometry
# Total magnetization: 0.00 μB per cell
# Space-group type: I-42m
# Uncorrected formation energy: -138 meV/atom
data_LiAg4Te4
_chemical_formula_sum 'Li1 Ag4 Te4'
_symmetry_space_group_name_H-M 'P 1'
_symmetry_Int_Tables_number 1
_symmetry_space_group_name_Hall 'P 1'
_cell_length_a 6.3983
_cell_length_b 6.3983
_cell_length_c 7.8221
_cell_angle_alpha 114.14
_cell_angle_beta 114.14
_cell_angle_gamma 90.00
loop_
_atom_site_label
_atom_site_type_symbol
_atom_site_fract_x
_atom_site_fract_y
_atom_site_fract_z
_atom_site_occupancy
Li1 Li 0.0000 0.0000 0.0000 1
Ag1 Ag 0.5000 0.0000 0.0000 1
Ag2 Ag 0.0000 0.5000 0.0000 1
Ag3 Ag 0.2398 0.2398 0.4795 1
Ag4 Ag 0.7602 0.7602 0.5205 1
Te1 Te 0.6155 0.6155 0.7488 1
Te2 Te 0.3845 0.8668 0.2512 1
Te3 Te 0.1332 0.1332 0.7488 1
Te4 Te 0.8668 0.3845 0.2512 1